Material: Mg4In5Pd2
Method: DFT, GGA-PBE
State: optimized geometry

Summary:
DFT total energy: -3.083 eV/atom
crystal system: monoclinic

Cell and atoms, written as extended XYZ:
```
11
Lattice="7.572 0.000 0.000 0.000 3.236 0.000 -0.714 0.000 9.692" Properties=species:S:1:pos:R:3 pbc="T T T"
Mg 1.215 0.000 3.448
Mg 0.855 0.000 9.109
Mg 6.003 0.000 0.583
Mg 5.643 0.000 6.243
In 0.740 1.618 6.302
In 3.379 1.618 1.600
In 3.429 1.618 4.846
In 3.479 1.618 8.092
In 6.117 1.618 3.389
Pd 0.533 1.618 1.383
Pd 6.325 1.618 8.308
```